# 1
KTeAu, optimized geometry, DFT PBE; DFT total energy = -3.10 eV/atom; crystal system = monoclinic; energy relative to the elements, uncorrected = -594 meV per atom
1.0
-2.1370 3.9125 1.0283
-4.5879 -5.1436 -0.1419
2.3828 -0.4356 6.6096
Au K Te
2 2 2
direct
0.7956 0.5912 0.6047
0.2044 0.4088 0.3953
0.8924 0.7848 0.1923
0.1076 0.2152 0.8077
0.3843 0.7686 0.7785
0.6157 0.2314 0.2215

# 2
K3TeAu, optimized geometry, DFT PBE; DFT total energy = -2.47 eV/atom; crystal system = cubic; relative energy among the computed polymorphs = 181 meV/atom; energy relative to the elements, uncorrected = -528 meV per atom
1.0
6.5663 0.0000 0.0000
0.0000 6.5663 0.0000
0.0000 0.0000 6.5663
Au Te K
1 1 3
direct
0.5000 0.5000 0.5000
0.0000 0.0000 0.0000
0.0000 0.5000 0.0000
0.0000 0.0000 0.5000
0.5000 0.0000 0.0000

# 3
KTeAu, optimized geometry, DFT PBE; DFT total energy = -2.39 eV/atom; crystal system = trigonal; energy relative to the elements, uncorrected = 115 meV per atom
1.0
3.3866 0.0000 0.0000
-1.6933 2.9329 0.0000
0.0000 0.0000 8.3446
Te K Au
1 1 1
direct
0.6667 0.3333 0.6712
0.3333 0.6667 0.3209
0.0000 0.0000 0.0079

# 4
K8Te2Au3, optimized geometry, DFT PBE; DFT total energy = -2.50 eV/atom; crystal system = orthorhombic; energy relative to the elements, uncorrected = -586 meV per atom
1.0
-4.8544 2.7321 -1.1604
-4.6473 -5.1488 7.3182
0.6249 4.8546 8.8153
K Te Au
8 2 3
direct
0.5000 0.3632 0.8858
0.0000 0.6221 0.6221
0.0000 0.3779 0.3779
0.5000 0.1142 0.6368
0.0000 0.1230 0.1230
0.5000 0.6368 0.1142
0.5000 0.8858 0.3632
0.0000 0.8770 0.8770
0.5000 0.2607 0.2607
0.5000 0.7393 0.7393
0.0000 0.2537 0.7463
0.0000 0.7463 0.2537
0.5000 0.0000 0.0000

# 5
KTe3Au3, optimized geometry, DFT PBE; DFT total energy = -3.11 eV/atom; crystal system = trigonal; relative energy among the computed polymorphs = 74 meV/atom; energy relative to the elements, uncorrected = -207 meV per atom
1.0
-6.4993 -1.9814 -4.4349
-6.4356 -3.4412 3.5463
-7.4531 5.4641 1.0589
Au K Te
6 2 6
direct
0.7699 0.1130 0.6585
0.5414 0.2301 0.3415
0.2301 0.8870 0.3415
0.8870 0.5414 0.3415
0.4586 0.7699 0.6585
0.1130 0.4586 0.6585
0.6667 0.6667 0.9998
0.3333 0.3333 0.0002
0.5783 0.9019 0.2926
0.0981 0.7728 0.7074
0.4217 0.0981 0.7074
0.9019 0.2272 0.2926
0.2272 0.5783 0.2926
0.7728 0.4217 0.7074

# 6
K2Te2Au3, optimized geometry, DFT PBE; DFT total energy = -3.03 eV/atom; crystal system = trigonal; energy relative to the elements, uncorrected = -414 meV per atom
1.0
-1.9566 -4.5654 -7.1170
-3.6850 -3.7106 6.9217
-2.9659 8.1082 -0.8578
Te Au K
4 6 4
direct
0.5007 0.9753 0.5012
0.9999 0.9988 0.9738
0.0257 0.5256 0.5246
0.4735 0.5004 0.0003
0.7498 0.5276 0.2771
0.4728 0.2233 0.7510
0.2504 0.9726 0.2230
0.0274 0.2766 0.2493
0.7778 0.2504 0.5273
0.7221 0.7495 0.9724
0.5048 0.0045 0.0049
0.9947 0.4998 0.0000
0.0004 0.0005 0.4954
0.5000 0.4951 0.4997

# 7
K4TeAu, optimized geometry, DFT PBE; DFT total energy = -2.38 eV/atom; crystal system = monoclinic; relative energy among the computed polymorphs = 0 meV/atom; energy relative to the elements, uncorrected = -582 meV per atom
1.0
7.4390 0.1359 -2.5789
-3.1520 7.6316 -3.6219
-0.0335 -0.0273 9.3900
Te K Au
2 8 2
direct
0.3830 0.6330 0.2661
0.6170 0.3670 0.7339
0.6163 0.3565 0.1098
0.3837 0.6435 0.8902
0.3606 0.9425 0.6398
0.9935 0.7533 0.1098
0.7792 0.6973 0.6398
0.6394 0.0575 0.3602
0.2208 0.3027 0.3602
0.0065 0.2467 0.8902
0.2435 0.9935 0.9871
0.7565 0.0065 0.0129

# 8
K6TeAu3, optimized geometry, DFT PBE; DFT total energy = -2.43 eV/atom; crystal system = monoclinic; energy relative to the elements, uncorrected = -472 meV per atom
1.0
5.0146 0.0000 0.0000
0.0000 10.8091 -3.5617
0.0000 0.0205 14.0144
Au K Te
6 12 2
direct
0.7500 0.6487 0.2849
0.7500 0.2305 0.0265
0.7500 0.4383 0.6422
0.2500 0.5617 0.3578
0.2500 0.7695 0.9735
0.2500 0.3513 0.7151
0.7500 0.4921 0.8844
0.2500 0.6370 0.7210
0.2500 0.1822 0.8629
0.7500 0.1185 0.6120
0.7500 0.3630 0.2790
0.7500 0.6918 0.5311
0.2500 0.8815 0.3880
0.7500 0.9123 0.8562
0.7500 0.8178 0.1371
0.2500 0.0877 0.1438
0.2500 0.5079 0.1156
0.2500 0.3082 0.4689
0.2500 0.9116 0.6641
0.7500 0.0884 0.3359

# 9
KTeAu, optimized geometry, DFT PBE; DFT total energy = -2.91 eV/atom; crystal system = tetragonal; energy relative to the elements, uncorrected = -401 meV per atom
1.0
6.6745 -0.0080 0.0000
4.1606 5.2190 0.0000
-5.4175 -2.6055 2.9001
Te K Au
1 1 1
direct
0.6012 0.6012 0.0000
0.3279 0.3279 0.0000
0.0709 0.0709 0.0000

# 10
K2TeAu4, optimized geometry, DFT PBE; DFT total energy = -2.61 eV/atom; crystal system = tetragonal; energy relative to the elements, uncorrected = 26 meV per atom
1.0
-2.0420 4.9493 0.4046
-3.3296 -1.6892 3.8587
3.2599 3.5935 8.1218
Te Au K
1 4 2
direct
0.0000 0.0000 0.0000
0.8386 0.8386 0.3229
0.1614 0.1614 0.6771
0.0000 0.5000 0.0000
0.5000 0.0000 0.0000
0.3561 0.3561 0.2878
0.6439 0.6439 0.7122

# 11
K2TeAu2, optimized geometry, DFT PBE; DFT total energy = -2.82 eV/atom; crystal system = tetragonal; relative energy among the computed polymorphs = 0 meV/atom; energy relative to the elements, uncorrected = -442 meV per atom
1.0
-2.3001 -4.4770 5.7857
6.9273 -3.2826 0.2138
1.5485 3.4836 3.3113
Au K Te
4 4 2
direct
0.6282 0.1282 0.0000
0.3718 0.8718 0.0000
0.8718 0.6282 0.0000
0.1282 0.3718 0.0000
0.8222 0.3222 0.5000
0.3222 0.1778 0.5000
0.6778 0.8222 0.5000
0.1778 0.6778 0.5000
0.0000 0.0000 0.0000
0.5000 0.5000 0.0000

# 12
KTeAu, optimized geometry, DFT PBE; DFT total energy = -2.70 eV/atom; crystal system = orthorhombic; energy relative to the elements, uncorrected = -193 meV per atom
1.0
5.9289 0.0310 -0.0650
2.3298 5.4521 0.0650
-3.1749 -4.1791 2.7590
K Te Au
1 1 1
direct
0.3321 0.3321 0.0000
0.6944 0.6944 0.0000
0.9734 0.9734 0.0000

# 13
K2TeAu, optimized geometry, DFT PBE; DFT total energy = -2.63 eV/atom; crystal system = tetragonal; energy relative to the elements, uncorrected = -481 meV per atom
1.0
-4.1501 4.0357 1.4664
-2.8047 1.0066 -5.1751
1.0871 -5.2552 2.6196
K Te Au
2 1 1
direct
0.0001 0.0001 0.0000
0.4999 0.4999 0.0000
0.7500 0.2500 0.5000
0.2500 0.7500 0.5000

# 14
K2TeAu, optimized geometry, DFT PBE; DFT total energy = -2.59 eV/atom; crystal system = tetragonal; energy relative to the elements, uncorrected = -439 meV per atom
1.0
6.1610 -0.0216 0.0000
2.0988 5.7926 0.0000
-4.1299 -2.8855 3.5464
Au K Te
1 2 1
direct
0.7500 0.2500 0.5000
0.2500 0.7500 0.5000
0.0000 0.0000 0.0000
0.5000 0.5000 0.0000

# 15
K2TeAu, optimized geometry, DFT PBE; DFT total energy = -2.63 eV/atom; crystal system = tetragonal; energy relative to the elements, uncorrected = -476 meV per atom
1.0
-6.4869 -6.6970 -0.2382
5.9294 -5.8906 4.1388
-1.3131 -5.3903 4.7180
Au Te K
2 2 4
direct
0.0000 0.0000 0.0000
0.7500 0.2500 0.5000
0.2500 0.7500 0.5000
0.5000 0.5000 0.0000
0.3750 0.3497 0.7500
0.6503 0.1250 0.2500
0.8750 0.9003 0.7500
0.0997 0.6250 0.2500

# 16
K3Te2Au2, optimized geometry, DFT PBE; DFT total energy = -2.97 eV/atom; crystal system = orthorhombic; energy relative to the elements, uncorrected = -662 meV per atom
1.0
-1.7684 0.2002 4.7732
2.5951 -3.8674 1.1237
7.2597 7.7365 -0.3532
Te Au K
2 2 3
direct
0.3634 0.8634 0.7269
0.6366 0.1366 0.2731
0.5692 0.5692 0.1383
0.4308 0.4308 0.8617
0.8170 0.3170 0.6340
0.1830 0.6830 0.3660
0.0000 0.0000 0.0000

# 17
K2TeAu, optimized geometry, DFT PBE; DFT total energy = -2.64 eV/atom; crystal system = tetragonal; energy relative to the elements, uncorrected = -484 meV per atom
1.0
3.8075 0.0000 0.0000
0.0000 3.8075 0.0000
0.0000 0.0000 9.1275
Au K Te
1 2 1
direct
0.5000 0.5000 0.7500
0.0000 0.0000 0.5166
0.0000 0.0000 0.9834
0.5000 0.5000 0.2500

# 18
K2TeAu, optimized geometry, DFT PBE; DFT total energy = -2.47 eV/atom; crystal system = tetragonal; energy relative to the elements, uncorrected = -318 meV per atom
1.0
4.9315 0.0000 0.0000
0.0000 4.9315 0.0000
0.0000 0.0000 7.0341
Au K Te
1 2 1
direct
0.5000 0.5000 0.8753
0.5000 0.5000 0.3755
0.0000 0.0000 0.8748
0.0000 0.0000 0.3744

# 19
KTeAu3, optimized geometry, DFT PBE; DFT total energy = -1.66 eV/atom; crystal system = cubic; relative energy among the computed polymorphs = 1196 meV/atom; energy relative to the elements, uncorrected = 1159 meV per atom
1.0
-2.8670 3.6727 2.8044
-4.3382 -3.2761 -0.1446
1.5918 -2.3134 4.6570
K Au Te
1 3 1
direct
0.0000 0.0000 0.0000
0.5000 0.0000 0.0000
0.0000 0.5000 0.0000
0.0000 0.0000 0.5000
0.5000 0.5000 0.5000

# 20
KTeAu, optimized geometry, DFT PBE; DFT total energy = -2.54 eV/atom; crystal system = tetragonal; energy relative to the elements, uncorrected = -32 meV per atom
1.0
8.6152 0.0431 -0.0450
8.0075 3.1782 -0.0529
0.6077 0.1253 3.1327
Te Au K
1 1 1
direct
0.6718 0.6717 0.3282
0.9870 0.9870 0.0130
0.3412 0.3412 0.6588

# 21
KTh2Te6Au2, optimized geometry, DFT PBE; DFT total energy = -4.50 eV/atom; crystal system = triclinic; energy relative to the elements, uncorrected = -742 meV per atom
1.0
-4.1304 1.0882 -6.9271
3.0044 -3.5490 -7.2974
-7.2073 -2.8161 3.8953
K Au Te Th
1 2 6 2
direct
0.5000 0.0000 0.5000
0.2408 0.7068 0.7996
0.7592 0.2932 0.2004
0.5803 0.1940 0.9403
0.0277 0.5417 0.7856
0.7902 0.1728 0.4346
0.4197 0.8060 0.0597
0.9723 0.4583 0.2144
0.2098 0.8272 0.5654
0.1628 0.6666 0.1521
0.8372 0.3334 0.8479

# 22
KTh4Te12Au3, optimized geometry, DFT PBE; DFT total energy = -4.59 eV/atom; crystal system = cubic; energy relative to the elements, uncorrected = -670 meV per atom
1.0
-0.6296 -4.3040 -8.8504
4.3665 -6.1570 6.3463
-9.0525 2.1876 3.2429
Te Au Th K
12 3 4 1
direct
0.8422 0.6788 0.1634
0.4846 0.3212 0.1634
0.1634 0.8422 0.6788
0.1634 0.4846 0.3212
0.1578 0.3212 0.8366
0.8366 0.1578 0.3212
0.3212 0.1634 0.4846
0.8366 0.5154 0.6788
0.5154 0.6788 0.8366
0.3212 0.8366 0.1578
0.6788 0.8366 0.5154
0.6788 0.1634 0.8422
0.0000 0.5000 0.5000
0.5000 0.5000 0.0000
0.5000 0.0000 0.5000
0.0000 0.0000 0.5000
0.5000 0.5000 0.5000
0.5000 0.0000 0.0000
0.0000 0.5000 0.0000
0.0000 0.0000 0.0000

# 23
K4Th3Te8Au, optimized geometry, DFT PBE; DFT total energy = -4.48 eV/atom; crystal system = monoclinic; energy relative to the elements, uncorrected = -1036 meV per atom
1.0
-4.6328 7.3095 2.7624
-7.6324 -5.6859 2.2450
8.1366 -1.9289 3.8131
Te K Au Th
8 4 1 3
direct
0.7695 0.2964 0.0297
0.7391 0.7199 0.4781
0.2305 0.7036 0.9703
0.7588 0.2874 0.5175
0.2603 0.2964 0.0297
0.2609 0.2801 0.5219
0.7397 0.7036 0.9703
0.2412 0.7126 0.4825
0.5000 0.0000 0.0000
0.0000 0.0000 0.5000
0.5000 0.0000 0.5000
0.0000 0.0000 0.0000
0.0000 0.5000 0.0000
0.5000 0.5000 0.5000
0.0000 0.5000 0.5000
0.5000 0.5000 0.0000

# 24
K2ThTe4Au2, optimized geometry, DFT PBE; DFT total energy = -4.07 eV/atom; crystal system = monoclinic; energy relative to the elements, uncorrected = -877 meV per atom
1.0
4.6061 0.0000 0.0000
0.0000 8.3665 -0.1955
-2.3031 -3.5778 8.3880
K Te Th Au
2 4 1 2
direct
0.8583 0.3653 0.7166
0.1417 0.6347 0.2834
0.8081 0.7564 0.6163
0.1919 0.2436 0.3837
0.4909 0.2585 0.9818
0.5091 0.7415 0.0182
0.0000 0.0000 0.0000
0.6407 0.0574 0.2814
0.3593 0.9426 0.7186